The following is a PBE-GGA calculation of crystalline Tb4Dy2Tm7 at its relaxed geometry, from Alexandria via LeMat-Bulk.

a = 6.6592 Å, b = 8.4976 Å, c = 8.7193 Å
α = 116.78°, β = 100.84°, γ = 103.84°
Last column: nearest neighbours and their distance in Å.
Space group P-1 (No. 2)
Unique sites:
1 Tb 0.0776 0.1517 0.2240 [2 per cell]  3 Tb 3.33-3.65, 5 Tm 3.38-3.58, 1 Dy 3.64
2 Tb 0.3270 0.3281 0.9945 [2 per cell]  2 Tb 3.21-3.43, 5 Tm 3.28-3.57, 3 Dy 3.32-3.59
3 Dy 0.2001 0.7290 0.1315 [2 per cell]  4 Tb 3.32-3.64, 6 Tm 3.35-3.57, 1 Dy 3.49
4 Tm 0.1484 0.4613 0.6805 [2 per cell]  6 Tm 3.41-3.79, 2 Dy 3.44-3.57, 4 Tb 3.49-3.76
5 Tm 0.2603 0.0133 0.5687 [2 per cell]  2 Tb 3.32-3.55, 5 Tm 3.32-3.64, 2 Dy 3.35-3.48
6 Tm 0.4119 0.6435 0.4634 [2 per cell]  6 Tm 3.20-3.54, 3 Tb 3.38-3.57, 1 Dy 3.43
7 Tm 0.5000 0.0000 0.0000 [1 per cell]  4 Tb 3.28-3.58, 2 Dy 3.41

Results
Magnetic moment = 0.0 μB per cell
E = -4.457 eV per atom
ΔH_f (0 K) = 83 meV per atom

The following is a PBE-GGA calculation of crystalline ZrCrSi2 at its relaxed geometry, from Alexandria via LeMat-Bulk.

a = 3.6712 Å, b = 3.6779 Å, c = 9.4481 Å
α = 90.00°, β = 90.00°, γ = 90.00°
Last column: nearest neighbours and their distance in Å.
Space group Amm2 (No. 38)
Unique sites:
1 Zr 0.0000 0.0000 0.0000 [2 per cell]  7 Si 2.59-2.81
2 Cr 0.5000 0.0000 0.2790 [2 per cell]  7 Si 2.64-2.78
3 Si 0.0000 0.0000 0.7255 [2 per cell]  2 Si 2.42, 1 Zr 2.59, 4 Cr 2.65
4 Si 0.5000 0.0000 0.5579 [2 per cell]  2 Si 2.42, 1 Cr 2.64, 4 Zr 2.66

Results
Magnetic moment = 4.7 μB per cell
E = -7.640 eV per atom
Formation energy (no corrections) = -0.3857 eV per atom

The following is a PBE-GGA calculation of crystalline Nd2TeI at its relaxed geometry, from Alexandria via LeMat-Bulk.

a = 7.7605 Å, b = 7.7605 Å, c = 7.7605 Å
α = 90.00°, β = 90.00°, γ = 90.00°
Last column: nearest neighbours and their distance in Å.
Space group Fm-3m (No. 225)
Unique sites:
1 Nd 0.2500 0.2500 0.2500 [8 per cell]  4 Te 3.36, 4 I 3.36
2 Te 0.0000 0.0000 0.0000 [4 per cell]  8 Nd 3.36
3 I 0.0000 0.0000 0.5000 [4 per cell]  8 Nd 3.36

Results
Magnetic moment = 0.0 μB per cell
E = -4.683 eV per atom
Formation energy (no corrections) = -1.1259 eV per atom

Which value of magnetic moment does entry 2 give? 4.7 μB per cell

Among the records above, which one has the highest E? Tb4Dy2Tm7

What is the magnetic moment in the first record? 0.0 μB per cell

Among the records above, which one has the lowest E? ZrCrSi2